(1)
# Ba2Zn3Au5 (PBE, relaxed)
data_Ba2Zn3Au5
_cell_length_a 10.260
_cell_length_b 13.724
_cell_length_c 6.800
_cell_angle_alpha 90.00
_cell_angle_beta 90.00
_cell_angle_gamma 90.00
_space_group_name_H-M_alt 'I b a m'
_space_group_IT_number 72
_space_group_name_Hall '-I 2 2c'
loop_
_atom_site_label
_atom_site_type_symbol
_atom_site_fract_x
_atom_site_fract_y
_atom_site_fract_z
Ba1 Ba 0.248 0.129 0.000
Zn1 Zn 0.000 0.500 0.250
Zn2 Zn 0.113 0.124 0.500
Au1 Au 0.000 0.000 0.250
Au2 Au 0.000 0.247 0.250
Au3 Au 0.132 0.387 0.000
# formation energy = -0.514 eV/atom


(2)
# Ho6Tm4Mg (PBE, relaxed)
data_Ho6Tm4Mg
_cell_length_a 6.421
_cell_length_b 6.421
_cell_length_c 16.863
_cell_angle_alpha 90.00
_cell_angle_beta 90.00
_cell_angle_gamma 90.00
_space_group_name_H-M_alt 'I -4 2 m'
_space_group_IT_number 121
_space_group_name_Hall 'I -4 2'
loop_
_atom_site_label
_atom_site_type_symbol
_atom_site_fract_x
_atom_site_fract_y
_atom_site_fract_z
Ho1 Ho 0.000 0.500 0.000
Ho2 Ho 0.183 0.183 0.170
Tm1 Tm 0.176 0.176 0.366
Mg1 Mg 0.000 0.000 0.000
# formation energy = 0.283 eV/atom


(3)
# Ba8NaPt2Rh (PBE, relaxed)
data_Ba8NaPt2Rh
_cell_length_a 7.619
_cell_length_b 9.514
_cell_length_c 7.879
_cell_angle_alpha 90.00
_cell_angle_beta 91.27
_cell_angle_gamma 90.00
_space_group_name_H-M_alt 'P 1 2/m 1'
_space_group_IT_number 10
loop_
_space_group_symop_operation_xyz
'x,y,z'
'-x,-y,-z'
'-x,y,-z'
'x,-y,z'
loop_
_atom_site_label
_atom_site_type_symbol
_atom_site_fract_x
_atom_site_fract_y
_atom_site_fract_z
Ba1 Ba 0.213 0.000 0.363
Ba2 Ba 0.243 0.500 0.323
Ba3 Ba 0.252 0.281 0.824
Na1 Na 0.500 0.000 0.000
Pt1 Pt 0.000 0.259 0.500
Rh1 Rh 0.500 0.500 0.000
# formation energy = -0.331 eV/atom


(4)
# PuAg2Cl8 (PBE, relaxed)
data_PuAg2Cl8
_cell_length_a 14.708
_cell_length_b 5.074
_cell_length_c 8.129
_cell_angle_alpha 90.00
_cell_angle_beta 91.33
_cell_angle_gamma 90.00
_space_group_name_H-M_alt 'C 1 2/m 1'
_space_group_IT_number 12
loop_
_space_group_symop_operation_xyz
'x,y,z'
'-x,-y,-z'
'-x,y,-z'
'x,-y,z'
'x+1/2,y+1/2,z'
'-x+1/2,-y+1/2,-z'
'-x+1/2,y+1/2,-z'
'x+1/2,-y+1/2,z'
loop_
_atom_site_label
_atom_site_type_symbol
_atom_site_fract_x
_atom_site_fract_y
_atom_site_fract_z
Pu1 Pu 0.000 0.000 0.000
Ag1 Ag 0.208 0.500 0.670
Cl1 Cl 0.014 0.000 0.307
Cl2 Cl 0.076 0.500 0.877
Cl3 Cl 0.175 0.000 0.046
Cl4 Cl 0.223 0.000 0.616
# ΔE_f (raw) = -0.83 eV per atom
# energy above the lowest structure with this stoichiometry = 0.033 eV per atom


(5)
# K2BaMg2 (PBE, relaxed)
data_K2BaMg2
_cell_length_a 10.523
_cell_length_b 10.523
_cell_length_c 4.060
_cell_angle_alpha 90.00
_cell_angle_beta 90.00
_cell_angle_gamma 90.00
_space_group_name_H-M_alt 'P 4/m b m'
_space_group_IT_number 127
_space_group_name_Hall '-P 4 2ab'
loop_
_atom_site_label
_atom_site_type_symbol
_atom_site_fract_x
_atom_site_fract_y
_atom_site_fract_z
K1 K 0.122 0.378 0.000
Ba1 Ba 0.000 0.000 0.000
Mg1 Mg 0.180 0.680 0.500
# formation energy = 0.218 eV/atom
# energy above the lowest structure with this stoichiometry = 0.036 eV per atom


(6)
# Ce2Dy4Bi3N2 (PBE, relaxed)
data_Ce2Dy4Bi3N2
_cell_length_a 4.720
_cell_length_b 4.720
_cell_length_c 25.970
_cell_angle_alpha 90.00
_cell_angle_beta 90.00
_cell_angle_gamma 90.00
_space_group_name_H-M_alt 'I 4/m m m'
_space_group_IT_number 139
_space_group_name_Hall '-I 4 2'
loop_
_atom_site_label
_atom_site_type_symbol
_atom_site_fract_x
_atom_site_fract_y
_atom_site_fract_z
Ce1 Ce 0.000 0.000 0.190
Dy1 Dy 0.000 0.500 0.084
Bi1 Bi 0.000 0.000 0.323
Bi2 Bi 0.000 0.000 0.500
N1 N 0.000 0.000 0.102
# ΔE_f (raw) = -1.03 eV per atom


(7)
# BePOF2 (PBE, relaxed)
data_BePOF2
_cell_length_a 3.141
_cell_length_b 3.141
_cell_length_c 6.122
_cell_angle_alpha 90.00
_cell_angle_beta 90.00
_cell_angle_gamma 90.00
_space_group_name_H-M_alt 'P 4/m m m'
_space_group_IT_number 123
_space_group_name_Hall '-P 4 2'
loop_
_atom_site_label
_atom_site_type_symbol
_atom_site_fract_x
_atom_site_fract_y
_atom_site_fract_z
Be1 Be 0.000 0.000 0.000
P1 P 0.500 0.500 0.500
O1 O 0.000 0.000 0.500
F1 F 0.000 0.500 0.000
# ΔE_f (raw) = -1.46 eV per atom
# energy above the lowest structure with this stoichiometry = 0.000 eV per atom


(8)
# Ba2CaCl2 (PBE, relaxed)
data_Ba2CaCl2
_cell_length_a 5.206
_cell_length_b 5.206
_cell_length_c 16.733
_cell_angle_alpha 90.00
_cell_angle_beta 90.00
_cell_angle_gamma 90.00
_space_group_name_H-M_alt 'I 4/m m m'
_space_group_IT_number 139
_space_group_name_Hall '-I 4 2'
loop_
_atom_site_label
_atom_site_type_symbol
_atom_site_fract_x
_atom_site_fract_y
_atom_site_fract_z
Ba1 Ba 0.000 0.000 0.143
Ca1 Ca 0.000 0.000 0.500
Cl1 Cl 0.000 0.500 0.250
# ΔE_f (raw) = -1.34 eV per atom


| no. | total magnetic moment (μB per formula unit) |
| --- | --- |
| 1 | 0.00 |
| 2 | 0.00 |
| 3 | 0.00 |
| 4 | 3.08 |
| 5 | 0.00 |
| 6 | 2.48 |
| 7 | 1.00 |
| 8 | 0.00 |